No. 1
The following is a PBE-GGA calculation of a relaxed structure of Ga4Br, from the Alexandria database. Values from VASP.

Output
Calculated total energy   -2.24 eV per atom
Uncorrected formation energy   0.52 eV per atom

Cell and atoms, written as Quantum ESPRESSO input:
```
&SYSTEM
  ibrav = 0, nat = 5, ntyp = 2
/
ATOMIC_SPECIES
Ga 69.72 Ga.upf
Br 79.90 Br.upf
CELL_PARAMETERS angstrom
5.559 0.000 0.000
0.000 5.559 0.000
0.000 0.000 5.559
ATOMIC_POSITIONS angstrom
Ga 0.000 0.000 0.000
Ga 0.000 2.779 2.779
Ga 2.779 0.000 2.779
Ga 2.779 2.779 0.000
Br 2.779 2.779 2.779
```

No. 2
The following is a PBE-GGA calculation of a relaxed structure of Ga2Br, from the Alexandria database. Values from VASP.

Output
Calculated total energy   -2.67 eV per atom
Uncorrected formation energy   -0.09 eV per atom
Relative energy among the computed polymorphs   185 meV/atom

Cell and atoms, written as Quantum ESPRESSO input:
```
&SYSTEM
  ibrav = 0, nat = 6, ntyp = 2
/
ATOMIC_SPECIES
Ga 69.72 Ga.upf
Br 79.90 Br.upf
CELL_PARAMETERS angstrom
0.000 4.188 4.188
4.188 0.000 4.188
4.188 4.188 0.000
ATOMIC_POSITIONS angstrom
Ga 0.000 0.000 0.000
Ga 2.094 2.094 0.000
Ga 2.094 0.000 2.094
Ga 0.000 2.094 2.094
Br 3.141 3.141 3.141
Br 5.235 5.235 5.235
```